## Na2SrAsS4 (PBE)

Data for a geometry-optimized Na2SrAsS4 structure.

```
Na2SrAsS4
1.0
-2.4295 -6.0640 4.7382
-0.8081 -4.6943 -6.5143
7.1468 4.2114 1.5423
Na Sr As S
4 2 2 8
direct
0.5000 0.0000 0.0000 Na
0.5000 0.0000 0.5000 Na
0.0000 0.0000 0.5000 Na
0.5000 0.5000 0.0000 Na
0.0000 0.5000 0.0000 Sr
0.0000 0.5000 0.5000 Sr
0.5000 0.5000 0.5000 As
0.0000 0.0000 0.0000 As
0.2319 0.7849 0.0084 S
0.7151 0.2681 0.4916 S
0.2849 0.7319 0.5084 S
0.7681 0.2151 0.9916 S
0.7456 0.7543 0.9615 S
0.7457 0.7544 0.5385 S
0.2543 0.2456 0.4615 S
0.2544 0.2457 0.0385 S
```

Magnetization: 0.00 μB per formula unit
Fermi-level density of states: 11.00 states/eV per cell
Energy relative to the elements, uncorrected: -0.868 eV/atom
Volume: 368.5 Å³ per cell

## TmLuTh (PBE)

Data for a geometry-optimized TmLuTh structure.

```
TmLuTh
1.0
-2.3597 -0.6518 -2.5523
-0.1371 -1.8054 3.0380
-5.1657 5.8955 3.2704
Lu Tm Th
1 1 1
direct
0.3333 0.6667 0.6698 Lu
0.6667 0.3333 0.3308 Tm
0.0000 0.0000 0.9994 Th
```

E_form: 19 meV/atom
Magnetization: 0.00 μB per formula unit
Energy relative to the lowest polymorph listed for this composition: 0.000 eV per atom
Fermi-level density of states: 4.17 states/eV per cell
Volume: 92.0 Å³ per cell

## Li2ZnSi (PBE)

Data for a geometry-optimized Li2ZnSi structure.

```
Li2ZnSi
1.0
4.2182 0.0000 0.0000
-2.1091 3.6530 0.0000
0.0000 0.0000 8.2112
Li Zn Si
4 2 2
direct
0.3333 0.6667 0.0829 Li
0.3333 0.6667 0.4171 Li
0.6667 0.3333 0.5829 Li
0.6667 0.3333 0.9171 Li
0.0000 0.0000 0.2500 Zn
0.0000 0.0000 0.7500 Zn
0.6667 0.3333 0.2500 Si
0.3333 0.6667 0.7500 Si
```

Magnetization: 0.00 μB per formula unit
Fermi-level density of states: 0.83 states/eV per cell
Energy relative to the elements, uncorrected: -0.280 eV/atom
Volume: 126.5 Å³ per cell